#1
DFT (PBE) results for a geometry-optimized AgRuPb2 structure.

Cell and atoms, written as extended XYZ:
```
4
Lattice="3.5014 0.0000 0.0000 0.0000 4.1921 0.0000 0.0000 0.0000 5.8512" Properties=species:S:1:pos:R:3 pbc="T T T"
Ag 0.0000 0.0000 0.0000
Ru 1.7507 2.0960 4.1090
Pb 0.0000 0.0000 3.1096
Pb 1.7507 2.0960 1.1097
```

Values from the calculation:
The space group is No. 25. For the density of states at the Fermi level, the calculation gives 2.38 states/eV/cell.

---

#2
DFT (PBE) results for a geometry-optimized AgRuPb2 structure.

Cell and atoms, written as extended XYZ:
```
4
Lattice="-1.5796 2.2507 6.4890 1.5796 -2.2507 6.4890 1.5796 2.2507 -6.4890" Properties=species:S:1:pos:R:3 pbc="T T T"
Ag 0.0000 0.0000 0.0000
Ru 1.5796 0.0000 2.4265
Pb 0.0000 0.0000 4.9435
Pb 0.0000 2.2507 2.2482
```

Values from the calculation:
The space group is No. 44. For the density of states at the Fermi level, the calculation gives 2.91 states/eV/cell.

---

#3
DFT (PBE) results for a geometry-optimized AgRuPb2 structure.

Cell and atoms, written as extended XYZ:
```
4
Lattice="-2.0915 2.0915 4.8501 2.0915 -2.0915 4.8501 2.0915 2.0915 -4.8501" Properties=species:S:1:pos:R:3 pbc="T T T"
Ag 0.0000 0.0000 0.0000
Ru 0.0000 2.0915 2.4251
Pb 2.0915 0.0000 2.4251
Pb 0.0000 0.0000 4.8501
```

Values from the calculation:
The space group is No. 119. For the density of states at the Fermi level, the calculation gives 2.48 states/eV/cell.

---

Top of the stability list: #2, leading by 90 meV/atom.

---

#1
DFT (PBE) results for a geometry-optimized AgRuPb2 structure.

Cell and atoms, written as extended XYZ:
```
4
Lattice="0.0000 3.5256 3.5256 3.5256 0.0000 3.5256 3.5256 3.5256 0.0000" Properties=species:S:1:pos:R:3 pbc="T T T"
Ag 0.0000 0.0000 0.0000
Ru 1.7628 1.7628 1.7628
Pb 3.5256 3.5256 3.5256
Pb 5.2884 5.2884 5.2884
```

Values from the calculation:
The space group is No. 216. For the density of states at the Fermi level, the calculation gives 2.81 states/eV/cell.

---

#2
DFT (PBE) results for a geometry-optimized AgRuPb2 structure.

Cell and atoms, written as extended XYZ:
```
4
Lattice="4.5491 -1.7023 0.0000 4.5491 1.7023 0.0000 -1.1893 0.0000 5.6331" Properties=species:S:1:pos:R:3 pbc="T T T"
Ag 0.0000 0.0000 0.0000
Ru 3.9544 0.0000 2.8166
Pb 1.3031 0.0000 4.1036
Pb 6.6058 0.0000 1.5295
```

Values from the calculation:
The space group is No. 12. For the density of states at the Fermi level, the calculation gives 2.91 states/eV/cell.

---

Top of the stability list: #2, leading by 174 meV/atom.

---

#1
DFT (PBE) results for a geometry-optimized AgRuPb2 structure.

Cell and atoms, written as extended XYZ:
```
4
Lattice="3.5958 0.0000 0.0000 0.0000 4.4326 0.0000 0.0000 0.0000 5.4944" Properties=species:S:1:pos:R:3 pbc="T T T"
Ag 0.0000 0.0000 0.0000
Ru 1.7979 0.0000 2.7472
Pb 0.0000 2.2163 2.7472
Pb 1.7979 2.2163 0.0000
```

Values from the calculation:
The space group is No. 47. For the density of states at the Fermi level, the calculation gives 3.08 states/eV/cell.

---

#2
DFT (PBE) results for a geometry-optimized AgRuPb2 structure.

Cell and atoms, written as extended XYZ:
```
4
Lattice="1.6788 0.9693 9.0743 -1.6788 0.9693 9.0743 0.0000 -1.9385 9.0743" Properties=species:S:1:pos:R:3 pbc="T T T"
Ag 0.0000 0.0000 0.0000
Ru 0.0000 0.0000 13.6115
Pb 0.0000 0.0000 6.5833
Pb 0.0000 0.0000 20.6397
```

Values from the calculation:
The space group is No. 166. For the density of states at the Fermi level, the calculation gives 2.76 states/eV/cell.

---

Top of the stability list: #2, leading by 181 meV/atom.

---

#1
DFT (PBE) results for a geometry-optimized AgPb4S5 structure.

Cell and atoms, written as extended XYZ:
```
10
Lattice="-2.0795 2.0795 14.5983 2.0795 -2.0795 14.5983 2.0795 2.0795 -14.5983" Properties=species:S:1:pos:R:3 pbc="T T T"
Ag 0.0000 0.0000 0.0000
Pb 0.0000 0.0000 5.7645
Pb 0.0000 0.0000 11.8571
Pb 0.0000 0.0000 17.3394
Pb 0.0000 0.0000 23.4321
S 0.0000 0.0000 2.7716
S 0.0000 0.0000 8.7424
S 0.0000 0.0000 14.5983
S 0.0000 0.0000 20.4542
S 0.0000 0.0000 26.4250
```

Values from the calculation:
The space group is No. 139. For the density of states at the Fermi level, the calculation gives 4.84 states/eV/cell.

---

#2
DFT (PBE) results for a geometry-optimized AgPb4S5 structure.

Cell and atoms, written as extended XYZ:
```
10
Lattice="-4.6198 4.6198 2.9322 4.6198 -4.6198 2.9322 4.6198 4.6198 -2.9322" Properties=species:S:1:pos:R:3 pbc="T T T"
Ag 0.0000 0.0000 0.0000
Pb 5.5122 1.8759 -0.0531
Pb 1.8759 3.7274 -0.0531
Pb 2.7439 0.8924 2.8791
Pb -0.8924 2.7439 2.8791
S 2.6810 0.8962 -0.0629
S 3.7236 -1.9387 2.8693
S 0.0000 0.0000 2.8568
S 0.8962 6.5585 -0.0629
S 1.9387 3.7236 2.8693
```

Values from the calculation:
The space group is No. 79. For the density of states at the Fermi level, the calculation gives 6.28 states/eV/cell.

---

Top of the stability list: #2, leading by 6 meV/atom.

---

#1
DFT (PBE) results for a geometry-optimized AgPb3S4 structure.

Cell and atoms, written as extended XYZ:
```
8
Lattice="4.1318 0.0000 0.0000 0.0000 4.1318 0.0000 0.0000 0.0000 11.6140" Properties=species:S:1:pos:R:3 pbc="T T T"
Ag 0.0000 0.0000 0.0000
Pb 0.0000 0.0000 5.8070
Pb 2.0659 2.0659 2.7554
Pb 2.0659 2.0659 8.8586
S 0.0000 0.0000 2.8067
S 0.0000 0.0000 8.8072
S 2.0659 2.0659 0.0000
S 2.0659 2.0659 5.8070
```

Values from the calculation:
The space group is No. 123. For the density of states at the Fermi level, the calculation gives 4.22 states/eV/cell.

---

#2
DFT (PBE) results for a geometry-optimized AgPb3S4 structure.

Cell and atoms, written as extended XYZ:
```
16
Lattice="5.8391 0.0000 0.0000 0.0000 11.5474 0.0000 0.0000 0.0000 5.8395" Properties=species:S:1:pos:R:3 pbc="T T T"
Ag 1.4598 2.8868 1.4447
Ag 4.3793 8.6605 4.3948
Pb 1.4598 11.5473 4.3794
Pb 1.4598 5.7738 4.3794
Pb 1.4598 8.6605 1.4629
Pb 4.3793 0.0001 1.4601
Pb 4.3793 2.8868 4.3766
Pb 4.3793 5.7736 1.4601
S 1.4598 0.1107 1.4606
S 1.4598 2.8868 4.3848
S 1.4598 5.6630 1.4606
S 1.4598 8.6605 4.3830
S 4.3793 2.8868 1.4565
S 4.3793 5.8844 4.3789
S 4.3793 8.6605 1.4547
S 4.3793 11.4367 4.3789
```

Values from the calculation:
The space group is No. 59. For the density of states at the Fermi level, the calculation gives 8.77 states/eV/cell.

---

Top of the stability list: #2, leading by 11 meV/atom.

---

#1
DFT (PBE) results for a geometry-optimized Ag2Pb3S4 structure.

Cell and atoms, written as extended XYZ:
```
9
Lattice="6.8832 -2.1083 0.0000 6.8832 2.1083 0.0000 -5.7339 0.0000 7.5183" Properties=species:S:1:pos:R:3 pbc="T T T"
Ag 0.4172 0.0000 2.7741
Ag 7.6153 0.0000 4.7441
Pb -2.5835 0.0000 5.6130
Pb 6.8832 0.0000 0.0000
Pb 10.6161 0.0000 1.9052
S 2.0330 0.0000 0.6735
S 2.2967 0.0000 4.7458
S 5.7359 0.0000 2.7724
S 5.9996 0.0000 6.8447
```

Values from the calculation:
The space group is No. 12.

---

#2
DFT (PBE) results for a geometry-optimized Ag2Pb3S4 structure.

Cell and atoms, written as extended XYZ:
```
18
Lattice="6.4918 -5.1663 0.0000 6.4918 5.1663 0.0000 -0.6651 0.0000 6.7425" Properties=species:S:1:pos:R:3 pbc="T T T"
Ag 2.7048 1.4044 0.7573
Ag 2.3723 -1.4044 4.1285
Ag 9.9463 1.4044 2.6140
Ag 9.6138 -1.4044 5.9852
Pb 6.3256 3.9622 1.6856
Pb 4.4067 1.3257 3.9740
Pb 4.7392 -1.3257 0.6027
Pb 7.5794 1.3257 6.1397
Pb 7.9119 -1.3257 2.7685
Pb 5.9931 -3.9622 5.0569
S 1.6865 0.9526 3.0976
S 5.2118 1.6724 0.1164
S 1.3540 -0.9526 6.4688
S 7.4394 1.6724 3.2548
S 4.8793 -1.6724 3.4876
S 10.9647 0.9526 0.2736
S 7.1068 -1.6724 6.6261
S 10.6321 -0.9526 3.6449
```

Values from the calculation:
The space group is No. 15.

---

Top of the stability list: #1, leading by 32 meV/atom.